The following is a DFT calculation (PBE) of an optimized crystal structure of TmTiOs2.

Output
**Calculated density**: 14.82 g/cm³
**Offset from the most stable computed form**: 72 meV per atom

Lattice parameters (Å, degrees): 4.5568 4.5568 4.5568 60.00 60.00 60.00
Element x y z (fractional)
Tm: 0.0000 0.0000 0.0000
Ti: 0.5000 0.5000 0.5000
Os: 0.2500 0.2500 0.2500
Os: 0.7500 0.7500 0.7500

***

The following is a DFT calculation (PBE) of an optimized crystal structure of TmTiOs2.

Output
**Calculated density**: 14.71 g/cm³
**Offset from the most stable computed form**: 0 meV per atom

Lattice parameters (Å, degrees): 3.1887 3.1887 6.6302 90.00 90.00 90.00
Element x y z (fractional)
Tm: 0.0000 0.0000 0.0000
Ti: 0.0000 0.0000 0.5000
Os: 0.5000 0.5000 0.2780
Os: 0.5000 0.5000 0.7220

***

The following is a DFT calculation (PBE) of an optimized crystal structure of TmTiOs2.

Output
**Calculated density**: 14.75 g/cm³
**Offset from the most stable computed form**: 99 meV per atom

Lattice parameters (Å, degrees): 4.5578 4.5578 3.2356 90.00 90.00 90.00
Element x y z (fractional)
Tm: 0.0000 0.0000 0.0000
Ti: 0.5000 0.5000 0.0000
Os: 0.0000 0.5000 0.5000
Os: 0.5000 0.0000 0.5000

***

The following is a DFT calculation (PBE) of an optimized crystal structure of TmTiZnOs.

Output
**Calculated density**: 11.16 g/cm³
**DFT total energy**: -25.905 eV/f.u.

Lattice parameters (Å, degrees): 4.6319 4.6319 4.6319 60.00 60.00 60.00
Element x y z (fractional)
Tm: 0.0000 0.0000 0.0000
Ti: 0.5000 0.5000 0.5000
Zn: 0.7500 0.7500 0.7500
Os: 0.2500 0.2500 0.2500

***

The following is a DFT calculation (PBE) of an optimized crystal structure of UTi2Os.

Output
**Calculated density**: 13.15 g/cm³
**Offset from the most stable computed form**: 126 meV per atom

Lattice parameters (Å, degrees): 4.5400 4.5400 4.5400 60.00 60.00 60.00
Element x y z (fractional)
U: 0.0000 0.0000 0.0000
Ti: 0.2500 0.2500 0.2500
Ti: 0.7500 0.7500 0.7500
Os: 0.5000 0.5000 0.5000

***

The following is a DFT calculation (PBE) of an optimized crystal structure of UTi2Os.

Output
**Calculated density**: 13.07 g/cm³
**Offset from the most stable computed form**: 182 meV per atom

Lattice parameters (Å, degrees): 4.6378 4.6378 3.0944 90.00 90.00 90.00
Element x y z (fractional)
U: 0.0000 0.0000 0.0000
Ti: 0.0000 0.5000 0.5000
Ti: 0.5000 0.0000 0.5000
Os: 0.5000 0.5000 0.0000

***

The following is a DFT calculation (PBE) of an optimized crystal structure of UTiOs2.

Output
**Calculated density**: 16.67 g/cm³
**Offset from the most stable computed form**: 0 meV per atom

Lattice parameters (Å, degrees): 3.0398 3.0398 7.1821 90.00 90.00 90.00
Element x y z (fractional)
U: 0.0000 0.0000 0.0000
Ti: 0.0000 0.0000 0.5000
Os: 0.5000 0.5000 0.2823
Os: 0.5000 0.5000 0.7177

***

The following is a DFT calculation (PBE) of an optimized crystal structure of UTi2Os.

Output
**Calculated density**: 12.46 g/cm³
**Offset from the most stable computed form**: 0 meV per atom

Lattice parameters (Å, degrees): 3.0346 3.0346 7.5818 90.00 90.00 90.00
Element x y z (fractional)
U: 0.0000 0.0000 0.0000
Ti: 0.5000 0.5000 0.2942
Ti: 0.5000 0.5000 0.7058
Os: 0.0000 0.0000 0.5000

***

The following is a DFT calculation (PBE) of an optimized crystal structure of UTiOs2.

Output
**Calculated density**: 16.16 g/cm³
**Offset from the most stable computed form**: 116 meV per atom

Lattice parameters (Å, degrees): 4.4332 4.4332 3.4832 90.00 90.00 90.00
Element x y z (fractional)
U: 0.0000 0.0000 0.0000
Ti: 0.5000 0.5000 0.0000
Os: 0.0000 0.5000 0.5000
Os: 0.5000 0.0000 0.5000

***

The following is a DFT calculation (PBE) of an optimized crystal structure of UTiVOs.

Output
**Calculated density**: 13.75 g/cm³
**DFT total energy**: -39.584 eV/f.u.

Lattice parameters (Å, degrees): 4.4820 4.4820 4.4820 60.00 60.00 60.00
Element x y z (fractional)
U: 0.0000 0.0000 0.0000
Ti: 0.2500 0.2500 0.2500
V: 0.7500 0.7500 0.7500
Os: 0.5000 0.5000 0.5000

***

The following is a DFT calculation (PBE) of an optimized crystal structure of TiV4Os.

Output
**Calculated density**: 8.73 g/cm³
**Offset from the most stable computed form**: 87 meV per atom

Lattice parameters (Å, degrees): 4.9163 4.9163 4.9163 60.00 60.00 60.00
Element x y z (fractional)
Ti: 0.0000 0.0000 0.0000
V: 0.3751 0.3751 0.3751
V: 0.3751 0.3751 0.8746
V: 0.3751 0.8746 0.3751
V: 0.8746 0.3751 0.3751
Os: 0.7500 0.7500 0.7500

***

The following is a DFT calculation (PBE) of an optimized crystal structure of TiV2Os2.

Output
**Calculated density**: 11.64 g/cm³
**Offset from the most stable computed form**: 75 meV per atom

Lattice parameters (Å, degrees): 7.2402 7.2402 2.8849 90.00 90.00 90.00
Element x y z (fractional)
Ti: 0.0000 0.0000 0.0000
Ti: 0.5000 0.5000 0.0000
V: 0.1554 0.3446 0.5000
V: 0.3446 0.8446 0.5000
V: 0.6554 0.1554 0.5000
V: 0.8446 0.6554 0.5000
Os: 0.1433 0.6433 0.0000
Os: 0.3567 0.1433 0.0000
Os: 0.6433 0.8567 0.0000
Os: 0.8567 0.3567 0.0000

***

The following is a DFT calculation (PBE) of an optimized crystal structure of Ti5VOs4.

Output
**Calculated density**: 11.74 g/cm³
**DFT total energy**: -99.164 eV/f.u.

Lattice parameters (Å, degrees): 3.0842 3.0842 15.6257 90.00 90.00 90.00
Element x y z (fractional)
Ti: 0.0000 0.0000 0.0000
Ti: 0.0000 0.0000 0.1990
Ti: 0.0000 0.0000 0.3968
Ti: 0.0000 0.0000 0.6032
Ti: 0.0000 0.0000 0.8010
V: 0.5000 0.5000 0.5000
Os: 0.5000 0.5000 0.0992
Os: 0.5000 0.5000 0.2982
Os: 0.5000 0.5000 0.7018
Os: 0.5000 0.5000 0.9008

***

The following is a DFT calculation (PBE) of an optimized crystal structure of Ti2V2Os.

Output
**Calculated density**: 8.78 g/cm³
**Offset from the most stable computed form**: 0 meV per atom

Lattice parameters (Å, degrees): 6.6405 6.6405 2.8030 99.54 99.54 37.05
Element x y z (fractional)
Ti: 0.1025 0.1025 0.3898
Ti: 0.8975 0.8975 0.6102
V: 0.2997 0.2997 0.1680
V: 0.7003 0.7003 0.8320
Os: 0.5000 0.5000 0.0000

***

The following is a DFT calculation (PBE) of an optimized crystal structure of TiV4Os2.

Output
**Calculated density**: 9.13 g/cm³
**DFT total energy**: -60.055 eV/f.u.

Lattice parameters (Å, degrees): 6.9939 6.9939 6.9939 144.45 144.45 51.15
Element x y z (fractional)
Ti: 0.0000 0.0000 0.0000
V: 0.0000 0.5000 0.5000
V: 0.1977 0.1977 0.0000
V: 0.5000 0.0000 0.5000
V: 0.8023 0.8023 0.0000
Os: 0.3790 0.3790 0.0000
Os: 0.6210 0.6210 0.0000

***

The following is a DFT calculation (PBE) of an optimized crystal structure of Ti4VOs3.

Output
**Calculated density**: 11.36 g/cm³
**DFT total energy**: -78.674 eV/f.u.

Lattice parameters (Å, degrees): 3.0810 4.3864 8.7947 90.00 90.00 90.00
Element x y z (fractional)
Ti: 0.0000 0.0000 0.0000
Ti: 0.0000 0.0000 0.5000
Ti: 0.0000 0.5000 0.2474
Ti: 0.0000 0.5000 0.7526
V: 0.5000 0.5000 0.5000
Os: 0.5000 0.0000 0.2512
Os: 0.5000 0.0000 0.7488
Os: 0.5000 0.5000 0.0000

***

The following is a DFT calculation (PBE) of an optimized crystal structure of Ti3VOs2.

Output
**Calculated density**: 10.67 g/cm³
**DFT total energy**: -58.037 eV/f.u.

Lattice parameters (Å, degrees): 3.0826 3.0826 9.4161 90.00 90.00 90.00
Element x y z (fractional)
Ti: 0.0000 0.0000 0.0000
Ti: 0.0000 0.0000 0.3283
Ti: 0.0000 0.0000 0.6717
V: 0.5000 0.5000 0.5000
Os: 0.5000 0.5000 0.1655
Os: 0.5000 0.5000 0.8345

***

The following is a DFT calculation (PBE) of an optimized crystal structure of TiV2Os2.

Output
**Calculated density**: 11.79 g/cm³
**Offset from the most stable computed form**: 44 meV per atom

Lattice parameters (Å, degrees): 7.2865 7.2865 2.8123 90.00 90.00 90.00
Element x y z (fractional)
Ti: 0.0000 0.0000 0.0000
Ti: 0.5000 0.5000 0.0000
V: 0.1460 0.3540 0.0000
V: 0.3540 0.8540 0.0000
V: 0.6460 0.1460 0.0000
V: 0.8540 0.6460 0.0000
Os: 0.1529 0.6529 0.5000
Os: 0.3471 0.1529 0.5000
Os: 0.6529 0.8471 0.5000
Os: 0.8471 0.3471 0.5000

***

The following is a DFT calculation (PBE) of an optimized crystal structure of TiV4Os.

Output
**Calculated density**: 8.80 g/cm³
**Offset from the most stable computed form**: 0 meV per atom

Lattice parameters (Å, degrees): 5.0318 5.0318 4.2786 90.00 90.00 129.69
Element x y z (fractional)
Ti: 0.0000 0.0000 0.0000
V: 0.1678 0.8322 0.5000
V: 0.3279 0.6721 0.0000
V: 0.6721 0.3279 0.0000
V: 0.8322 0.1678 0.5000
Os: 0.5000 0.5000 0.5000

***

The following is a DFT calculation (PBE) of an optimized crystal structure of TiVOs2.

Output
**Calculated density**: 13.94 g/cm³
**DFT total energy**: -41.320 eV/f.u.

Lattice parameters (Å, degrees): 4.3302 4.3302 3.0440 90.00 90.00 90.00
Element x y z (fractional)
Ti: 0.0000 0.0000 0.0000
V: 0.5000 0.5000 0.0000
Os: 0.0000 0.5000 0.5000
Os: 0.5000 0.0000 0.5000